ZrTeIrPd2 | meta-GGA SCAN | single point on PBEsol structure

The value obtained for the total energy is -200.49 eV/cell. The calculation puts the magnetic moment at 0.0 μB per formula unit. The crystal system is tetragonal. The value obtained for the volume is 111.9 Å³ per cell.

Lattice parameters (Å, degrees): 4.790 4.834 4.834 90.00 90.00 90.00
Atoms (fractional coordinates):
Ir (0.500, 0.000, 0.000)
Te (0.500, 0.500, 0.500)
Zr (0.000, 0.000, 0.000)
Pd (0.000, 0.000, 0.500)
Pd (0.000, 0.500, 0.000)



YGa2TcPt | meta-GGA SCAN | single point on PBEsol structure

The value obtained for the total energy is -165.45 eV/cell. The calculation puts the magnetic moment at 2.1 μB per formula unit. The calculation puts the energy of formation at 68 meV per atom. The crystal system is tetragonal. The value obtained for the volume is 108.5 Å³ per cell.

Lattice parameters (Å, degrees): 4.601 4.601 5.125 90.00 90.00 90.00
Each line ends with the local moment (μB).
Atoms (fractional coordinates):
Y (0.500, 0.500, 0.500)  -0.17
Ga (0.000, 0.500, 0.000)  -0.01
Ga (0.500, 0.000, 0.000)  -0.01
Tc (0.000, 0.000, 0.500)  2.19
Pt (0.000, 0.000, 0.000)  0.14



Question: Among the records above, which one has the highest magnetic moment?
Answer: YGa2TcPt